Compound: Li2YMoF8
Source: the Alexandria database
Functional: GGA+U
Structure: relaxed

Output
* DFT total energy: -5.857 eV per atom
* theoretical density: 3661 kg/m³
* symmetry: P2/m
* magnetic moment: 0.250 μB per atom

abc: 4.810 4.809 6.879
angles: 90.00 90.00 88.53
Each line ends with the local moment (μB).
Fractional positions:
F 0.801 0.202 0.761  0.01
Li 0.500 0.500 0.763  0.00
Y 0.000 0.000 0.500  0.00
Li 0.500 0.500 0.237  0.00
F 0.801 0.202 0.239  0.01
Mo 0.000 0.000 0.000  2.78
F 0.312 0.309 0.500  0.00
F 0.303 0.300 0.000  0.03
F 0.199 0.798 0.761  0.01
F 0.697 0.700 0.000  0.03
F 0.688 0.691 0.500  0.00
F 0.199 0.798 0.239  0.01